# PBE BiMo2W, relaxed
data_BiMo2W
_cell_length_a 4.658
_cell_length_b 4.658
_cell_length_c 4.658
_cell_angle_alpha 60.00
_cell_angle_beta 60.00
_cell_angle_gamma 60.00
_space_group_name_H-M_alt 'P 1'
_space_group_IT_number 1
loop_
_space_group_symop_operation_xyz
'x,y,z'
loop_
_atom_site_label
_atom_site_type_symbol
_atom_site_fract_x
_atom_site_fract_y
_atom_site_fract_z
Bi1 Bi 0.000 0.000 0.000
Mo1 Mo 0.500 0.500 0.500
Mo2 Mo 0.750 0.750 0.750
W1 W 0.250 0.250 0.250
# energy: -8.87 eV per atom
# magnetization: 0.17 μB/cell